# 1
Computed, not measured: crystalline AcPr3Au4 at its relaxed geometry at the PBE level of DFT.

Lattice parameters (Å, degrees): 6.5652 6.5652 6.5652 109.47 109.47 109.47
Sites, in units of the cell vectors:
Pr1 0.5000 0.0000 0.5000
Pr2 0.5000 0.5000 0.0000
Pr3 0.0000 0.5000 0.5000
Au1 0.0000 0.0000 0.4999
Au2 0.4999 0.0000 0.0000
Au3 0.0000 0.4999 0.0000
Au4 0.5001 0.5001 0.5001
Ac1 0.0000 0.0000 0.0000

The formation energy is -738 meV per atom.

# 2
Computed, not measured: crystalline AcTm2In4 at its relaxed geometry at the PBE level of DFT.

Lattice parameters (Å, degrees): 4.9439 3.8066 11.0154 99.95 102.97 90.00
Sites, in units of the cell vectors:
In1 0.3439 0.3439 0.6879
In2 0.0730 0.5730 0.1459
In3 0.6561 0.6561 0.3121
In4 0.9270 0.4270 0.8541
Ac1 0.5000 0.0000 0.0000
Tm1 0.1966 0.1966 0.3931
Tm2 0.8034 0.8034 0.6069

The formation energy is -394 meV per atom.

# 3
Computed, not measured: crystalline SmAu2I6 at its relaxed geometry at the PBE level of DFT.

Lattice parameters (Å, degrees): 8.4434 10.6003 10.6003 91.20 72.89 72.89
Sites, in units of the cell vectors:
Sm1 0.2500 0.0855 0.9145
Sm2 0.7500 0.9145 0.0855
I1 0.1694 0.8009 0.9843
I2 0.7705 0.9576 0.3515
I3 0.3306 0.0157 0.1991
I4 0.5626 0.5624 0.6539
I5 0.6694 0.9843 0.8009
I6 0.8306 0.1991 0.0157
I7 0.2705 0.3515 0.9576
I8 0.2295 0.0424 0.6485
I9 0.4374 0.4376 0.3461
I10 0.9374 0.3461 0.4376
I11 0.7295 0.6485 0.0424
I12 0.0626 0.6539 0.5624
Au1 0.3017 0.2611 0.2919
Au2 0.1983 0.7081 0.7389
Au3 0.8017 0.2919 0.2611
Au4 0.6983 0.7389 0.7081

Its uncorrected formation energy is -565 meV per atom.

# 4
Computed, not measured: crystalline Tm3PuAu4 at its relaxed geometry at the PBE level of DFT.

Lattice parameters (Å, degrees): 5.0428 5.0428 8.7969 73.34 73.34 60.00
Last column: magnetic moment on the atom in μB.
Sites, in units of the cell vectors:
Au1 0.1291 0.1291 0.6128  0.00
Au2 0.6201 0.6201 0.1397  0.01
Au3 0.8709 0.8709 0.3872  0.00
Au4 0.3799 0.3799 0.8603  0.01
Tm1 0.2513 0.2513 0.2461  0.07
Tm2 0.5000 0.5000 0.5000  -0.05
Tm3 0.7487 0.7487 0.7539  0.07
Pu1 0.0000 0.0000 0.0000  5.34

The formation energy is -754 meV per atom.

# 5
Computed, not measured: crystalline LiMgZr2Cl at its relaxed geometry at the PBE level of DFT.

Lattice parameters (Å, degrees): 4.8633 4.8927 4.8633 90.00 90.00 90.00
Last column: magnetic moment on the atom in μB.
Sites, in units of the cell vectors:
Cl1 0.5000 0.5000 0.5000  0.01
Zr1 0.0000 0.0000 0.5000  0.18
Zr2 0.5000 0.0000 0.0000  0.21
Li1 0.0000 0.0000 0.0000  0.01
Mg1 0.0000 0.5000 0.0000  0.00

Its uncorrected formation energy is 674 meV per atom.

# 6
Computed, not measured: crystalline Cs2K3Rb12Na at its relaxed geometry at the PBE level of DFT.

Lattice parameters (Å, degrees): 21.6431 21.6431 21.6431 26.15 26.15 26.15
Sites, in units of the cell vectors:
Rb1 0.3795 0.8823 0.8823
Rb2 0.1177 0.1177 0.6205
Rb3 0.6025 0.6025 0.1211
Rb4 0.8823 0.3795 0.8823
Rb5 0.6025 0.1211 0.6025
Rb6 0.1177 0.6205 0.1177
Rb7 0.6205 0.1177 0.1177
Rb8 0.3975 0.8789 0.3975
Rb9 0.3975 0.3975 0.8789
Rb10 0.1211 0.6025 0.6025
Rb11 0.8789 0.3975 0.3975
Rb12 0.8823 0.8823 0.3795
K1 0.0000 0.0000 0.5000
K2 0.0000 0.5000 0.0000
K3 0.5000 0.0000 0.0000
Cs1 0.6447 0.6447 0.6447
Cs2 0.3553 0.3553 0.3553
Na1 0.0000 0.0000 0.0000

The formation energy is 75 meV per atom.

# 7
Computed, not measured: crystalline LaAsW2 at its relaxed geometry at the PBE level of DFT.

Lattice parameters (Å, degrees): 4.6851 4.3250 4.3268 81.93 90.00 90.00
Sites, in units of the cell vectors:
W1 0.0000 0.4330 0.4328
W2 0.0000 0.0670 0.0672
La1 0.5000 0.7500 0.7500
As1 0.5000 0.2500 0.2500

The formation energy is 366 meV per atom.

# 8
Computed, not measured: crystalline RbZr2VHg at its relaxed geometry at the PBE level of DFT.

Lattice parameters (Å, degrees): 5.0811 4.6228 5.0811 90.00 90.00 90.00
Last column: magnetic moment on the atom in μB.
Sites, in units of the cell vectors:
Rb1 0.0000 0.0000 0.0000  0.00
V1 0.0000 0.5000 0.0000  2.06
Hg1 0.5000 0.5000 0.5000  -0.01
Zr1 0.0000 0.0000 0.5000  -0.21
Zr2 0.5000 0.0000 0.0000  -0.09

The formation energy is 2075 meV per atom.

Here are the calculated total moment numbers, same order: 0.00, 0.00, 0.00, 5.66, 0.73, 0.00, 0.00, 1.96 (Bohr magnetons per cell).